[1]
Computed, not measured: a relaxed SmAl11Re crystal at the PBE level of DFT.

## Properties
As for the energy of formation from the pure elements: -0.2090 eV/atom. The symmetry is C2/m. The calculation puts the uncorrected energy at -61.052 eV for the cell shown.

a b c (Å): 5.2907 7.1488 6.8852
angles (deg): 81.98 67.41 68.71
Element x y z (fractional)
Al 0.2840 0.2231 0.2171
Re 0.5000 0.5000 0.0000
Al 0.4988 0.7769 0.2171
Al 0.3663 0.6399 0.6533
Al 0.0000 0.0000 0.5000
Al 0.5000 0.0000 0.5000
Al 0.7160 0.7769 0.7829
Al 0.0196 0.6399 0.3467
Al 0.5012 0.2231 0.7829
Sm 0.0000 0.0000 0.0000
Al 0.0000 0.5000 0.0000
Al 0.6337 0.3601 0.3467
Al 0.9804 0.3601 0.6533



[2]
Computed, not measured: a relaxed AlRe3Sn crystal at the PBE level of DFT.

## Properties
Its energy relative to the lowest polymorph listed for this composition is 0.000 eV/f.u. As for the energy of formation from the pure elements: 1.6255 eV/atom. The symmetry is Pm-3m. The calculation puts the uncorrected energy at -36.962 eV for the cell shown.

a b c (Å): 4.4997 4.4997 4.4997
angles (deg): 90.00 90.00 90.00
Element x y z (fractional)
Re 0.0000 0.5000 0.0000
Sn 0.5000 0.5000 0.5000
Al 0.0000 0.0000 0.0000
Re 0.0000 0.0000 0.5000
Re 0.5000 0.0000 0.0000



[3]
Computed, not measured: a relaxed AlReSn3 crystal at the PBE level of DFT.

## Properties
Its energy relative to the lowest polymorph listed for this composition is 4.289 eV/f.u. As for the energy of formation from the pure elements: 1.4266 eV/atom. The symmetry is Pm-3m. The calculation puts the uncorrected energy at -21.066 eV for the cell shown.

a b c (Å): 5.1629 5.1629 5.1629
angles (deg): 90.00 90.00 90.00
Site moments in Bohr magnetons follow the coordinates.
Element x y z (fractional)
Sn 0.0000 0.5000 0.0000  -0.06
Al 0.0000 0.0000 0.0000  0.01
Sn 0.0000 0.0000 0.5000  -0.03
Sn 0.5000 0.0000 0.0000  -0.05
Re 0.5000 0.5000 0.5000  3.14



[4]
Computed, not measured: a relaxed Al2ReSn crystal at the PBE level of DFT.

## Properties
As for the energy of formation from the pure elements: 0.5093 eV/atom. The symmetry is I-42d. The calculation puts the uncorrected energy at -43.798 eV for the cell shown.

a b c (Å): 4.0875 4.0875 9.5951
angles (deg): 77.70 77.70 90.00
Site moments in Bohr magnetons follow the coordinates.
Element x y z (fractional)
Al 0.0854 0.6250 0.2500  0.01
Al 0.6646 0.1250 0.2500  0.01
Al 0.3750 0.3354 0.7500  0.01
Sn 0.2500 0.7500 0.5000  0.01
Re 0.0000 0.0000 0.0000  0.87
Al 0.8750 0.9146 0.7500  0.01
Re 0.7500 0.2500 0.5000  0.88
Sn 0.5000 0.5000 0.0000  0.00



[5]
Computed, not measured: a relaxed Al2ReSn2 crystal at the PBE level of DFT.

## Properties
As for the energy of formation from the pure elements: 1.7723 eV/atom. The symmetry is P4/mmm. The calculation puts the uncorrected energy at -19.077 eV for the cell shown.

a b c (Å): 5.1422 5.1422 5.5032
angles (deg): 90.00 90.00 90.00
Site moments in Bohr magnetons follow the coordinates.
Element x y z (fractional)
Al 0.5000 0.0000 0.0000  -0.01
Sn 0.0000 0.0000 0.0000  0.04
Re 0.5000 0.5000 0.5000  3.30
Sn 0.0000 0.0000 0.5000  -0.08
Al 0.0000 0.5000 0.0000  -0.01



[6]
Computed, not measured: a relaxed AlReSn3 crystal at the PBE level of DFT.

## Properties
Its energy relative to the lowest polymorph listed for this composition is 0.000 eV/f.u. As for the energy of formation from the pure elements: 0.5688 eV/atom. The symmetry is Pm-3m. The calculation puts the uncorrected energy at -25.355 eV for the cell shown.

a b c (Å): 5.2075 5.2075 5.2075
angles (deg): 90.00 90.00 90.00
Site moments in Bohr magnetons follow the coordinates.
Element x y z (fractional)
Sn 0.0000 0.5000 0.0000  0.01
Re 0.0000 0.0000 0.0000  0.38
Sn 0.0000 0.0000 0.5000  0.02
Al 0.5000 0.5000 0.5000  0.03
Sn 0.5000 0.0000 0.0000  -0.01



[7]
Computed, not measured: a relaxed AlRe3Sn crystal at the PBE level of DFT.

## Properties
Its energy relative to the lowest polymorph listed for this composition is 5.340 eV/f.u. As for the energy of formation from the pure elements: 2.6934 eV/atom. The symmetry is Pm-3m. The calculation puts the uncorrected energy at -31.623 eV for the cell shown.

a b c (Å): 4.8276 4.8276 4.8276
angles (deg): 90.00 90.00 90.00
Site moments in Bohr magnetons follow the coordinates.
Element x y z (fractional)
Sn 0.0000 0.0000 0.0000  0.00
Re 0.5000 0.0000 0.0000  0.74
Re 0.0000 0.0000 0.5000  0.95
Al 0.5000 0.5000 0.5000  -0.03
Re 0.0000 0.5000 0.0000  0.90



[8]
Computed, not measured: a relaxed AlReSn2 crystal at the PBE level of DFT.

## Properties
As for the energy of formation from the pure elements: 1.0423 eV/atom. The symmetry is I-42d. The calculation puts the uncorrected energy at -40.054 eV for the cell shown.

a b c (Å): 6.2824 6.2824 7.5392
angles (deg): 65.38 65.38 90.00
Site moments in Bohr magnetons follow the coordinates.
Element x y z (fractional)
Re 0.7500 0.2500 0.5000  1.10
Al 0.5000 0.5000 0.0000  0.01
Sn 0.3750 0.3564 0.7500  -0.05
Sn 0.6436 0.1250 0.2500  -0.04
Re 0.0000 0.0000 0.0000  1.09
Sn 0.1064 0.6250 0.2500  -0.04
Sn 0.8750 0.8936 0.7500  -0.05
Al 0.2500 0.7500 0.5000  0.02



[9]
Computed, not measured: a relaxed AlReTc2Sn crystal at the PBE level of DFT.

## Properties
As for the energy of formation from the pure elements: 2.1971 eV/atom. The symmetry is P4/mmm. The calculation puts the uncorrected energy at -29.940 eV for the cell shown.

a b c (Å): 4.8223 4.8665 4.8223
angles (deg): 90.00 90.00 90.00
Site moments in Bohr magnetons follow the coordinates.
Element x y z (fractional)
Re 0.0000 0.5000 0.0000  0.69
Al 0.5000 0.5000 0.5000  -0.04
Sn 0.0000 0.0000 0.0000  -0.01
Tc 0.5000 0.0000 0.0000  1.10
Tc 0.0000 0.0000 0.5000  1.43